# LiZnCr2N

A relaxed structure of LiZnCr2N (PBE-GGA, Alexandria).

Cell lengths 3.775, 3.775, 4.001 Å; angles 90.00, 90.00, 90.00 degrees
Space group P4/mmm (No. 123)
Unique sites:
Li 0.000 0.000 0.000 [1 per cell]
Zn 0.500 0.500 0.000 [1 per cell]
Cr 0.000 0.500 0.500 [2 per cell]
N 0.000 0.000 0.500 [1 per cell]

**DOS at the Fermi energy**: 0.89 states/eV/atom
**E_form (uncorrected)**: -200 meV/atom